# 1
Computed, not measured: a geometry-optimized Pu3HgPb2 structure at the PBE level of DFT.

abc: 4.153 4.153 9.558
angles: 90.00 90.00 90.00
Space group P4/mmm (No. 123)
Unique sites:
1 Pu 0.000 0.000 0.000 (multiplicity 1)
2 Pu 0.000 0.000 0.332 (multiplicity 2)
3 Hg 0.500 0.500 0.500 (multiplicity 1)
4 Pb 0.500 0.500 0.167 (multiplicity 2)

Summary:
The calculation puts the formation energy at -0.099 eV/atom. As for the density of states at the Fermi level: 27.12 states/eV/cell. The calculation puts the size of the total moment at 17.65 μB/f.u.


# 2
Computed, not measured: a geometry-optimized Pu2HgPb4 structure at the PBE level of DFT.

abc: 7.924 10.365 5.120
angles: 90.00 90.00 90.00
Space group Cmmm (No. 65)
Unique sites:
1 Pu 0.000 0.212 0.000 (multiplicity 4)
2 Hg 0.000 0.000 0.500 (multiplicity 2)
3 Pb 0.198 0.500 0.000 (multiplicity 4)
4 Pb 0.250 0.250 0.500 (multiplicity 4)

Summary:
The calculation puts the formation energy at -0.061 eV/atom. As for the density of states at the Fermi level: 44.07 states/eV/cell. The calculation puts the size of the total moment at 11.50 μB/f.u.


# 3
Computed, not measured: a geometry-optimized PuHg4Pb structure at the PBE level of DFT.

abc: 5.184 6.651 8.983
angles: 90.00 90.00 90.00
Space group Immm (No. 71)
Unique sites:
1 Pu 0.000 0.000 0.000 (multiplicity 2)
2 Hg 0.000 0.260 0.334 (multiplicity 8)
3 Pb 0.000 0.500 0.000 (multiplicity 2)

Summary:
The calculation puts the formation energy at -0.085 eV/atom. As for the density of states at the Fermi level: 28.57 states/eV/cell. The calculation puts the size of the total moment at 5.78 μB/f.u.


# 4
Computed, not measured: a geometry-optimized Pu2Hg4Pb structure at the PBE level of DFT.

abc: 4.247 4.247 21.140
angles: 90.00 90.00 90.00
Space group I4/mmm (No. 139)
Unique sites:
1 Pu 0.000 0.000 0.082 (multiplicity 4)
2 Hg 0.000 0.000 0.353 (multiplicity 4)
3 Hg 0.000 0.500 0.250 (multiplicity 4)
4 Pb 0.000 0.000 0.500 (multiplicity 2)

Summary:
The calculation puts the formation energy at 0.021 eV/atom. As for the density of states at the Fermi level: 53.43 states/eV/cell. The calculation puts the size of the total moment at 11.82 μB/f.u.


# 5
Computed, not measured: a geometry-optimized PuHg4Pb3 structure at the PBE level of DFT.

abc: 4.790 4.790 9.470
angles: 90.00 90.00 90.00
Space group P4/mmm (No. 123)
Unique sites:
1 Pu 0.000 0.000 0.000 (multiplicity 1)
2 Hg 0.000 0.500 0.244 (multiplicity 4)
3 Pb 0.000 0.000 0.500 (multiplicity 1)
4 Pb 0.500 0.500 0.000 (multiplicity 1)
5 Pb 0.500 0.500 0.500 (multiplicity 1)

Summary:
The calculation puts the formation energy at -0.050 eV/atom. As for the density of states at the Fermi level: 15.26 states/eV/cell. The calculation puts the size of the total moment at 5.89 μB/f.u.


# 6
Computed, not measured: a geometry-optimized Pu5Hg4Pb structure at the PBE level of DFT.

abc: 4.044 4.044 16.254
angles: 90.00 90.00 90.00
Space group P4/mmm (No. 123)
Unique sites:
1 Pu 0.000 0.000 0.000 (multiplicity 1)
2 Pu 0.000 0.000 0.200 (multiplicity 2)
3 Pu 0.000 0.000 0.399 (multiplicity 2)
4 Hg 0.500 0.500 0.099 (multiplicity 2)
5 Hg 0.500 0.500 0.298 (multiplicity 2)
6 Pb 0.500 0.500 0.500 (multiplicity 1)

Summary:
The calculation puts the formation energy at -0.091 eV/atom. As for the density of states at the Fermi level: 40.41 states/eV/cell. The calculation puts the size of the total moment at 29.89 μB/f.u.